# 1
Compound: Zr2TeSe2
Source: Alexandria
Functional: GGA-PBE
Structure: relaxed

Lattice parameters (Å, degrees): 3.840 5.340 6.978 112.50 105.97 90.00
Element x y z (fractional)
Zr  0.682  0.182  0.363
Zr  0.318  0.818  0.637
Te  0.000  0.000  0.000
Se  0.341  0.341  0.682
Se  0.659  0.659  0.318

Results
Formation energy from raw total energies ... -26.266 kcal/mol of atoms

# 2
Compound: Tl2HgTeO8
Source: Alexandria
Functional: GGA-PBE
Structure: relaxed

Lattice parameters (Å, degrees): 5.061 5.008 6.847 85.07 93.05 95.05
Element x y z (fractional)
Tl  0.495  0.496  0.755
Tl  0.505  0.504  0.245
Hg  0.000  0.000  0.500
Te  0.000  0.000  0.000
O  0.144  0.757  0.198
O  0.670  0.756  0.992
O  0.863  0.179  0.226
O  0.856  0.243  0.802
O  0.330  0.244  0.008
O  0.137  0.821  0.774
O  0.658  0.736  0.497
O  0.342  0.264  0.503

Results
Formation energy from raw total energies ... -11.132 kcal/mol of atoms

# 3
Compound: Cr2SiIrAu
Source: Alexandria
Functional: GGA-PBE
Structure: relaxed

Lattice parameters (Å, degrees): 4.849 4.477 4.849 90.00 90.00 90.00
Site moments in Bohr magnetons follow the coordinates.
Element x y z (fractional)
Cr  0.000  0.000  0.500  3.21
Cr  0.500  0.000  0.000  3.70
Si  0.000  0.500  0.000  -0.03
Ir  0.000  0.000  0.000  -0.15
Au  0.500  0.500  0.500  -0.01

Results
Formation energy from raw total energies ... 17.515 kcal/mol of atoms

# 4
Compound: PuCuPd2O8
Source: Alexandria
Functional: GGA-PBE
Structure: relaxed

Lattice parameters (Å, degrees): 5.822 5.822 5.822 112.72 112.72 103.15
Site moments in Bohr magnetons follow the coordinates.
Element x y z (fractional)
Pu  0.250  0.750  0.500  1.68
Cu  0.000  0.000  0.000  -0.15
Pd  0.750  0.250  0.500  -0.11
Pd  0.500  0.500  0.000  0.57
O  0.346  0.036  0.309  -0.10
O  0.286  0.483  0.197  -0.02
O  0.286  0.089  0.803  -0.02
O  0.727  0.036  0.691  -0.10
O  0.911  0.714  0.197  -0.02
O  0.964  0.273  0.309  -0.10
O  0.964  0.654  0.691  -0.10
O  0.517  0.714  0.803  -0.02

Results
Formation energy from raw total energies ... -15.518 kcal/mol of atoms

# 5
Compound: Ho3Tm2Th2
Source: Alexandria
Functional: GGA-PBE
Structure: relaxed

Lattice parameters (Å, degrees): 3.548 10.620 7.856 58.65 77.00 59.93
Element x y z (fractional)
Ho  0.000  0.000  0.000
Ho  0.571  0.568  0.153
Ho  0.429  0.432  0.847
Tm  0.145  0.139  0.292
Tm  0.855  0.861  0.708
Th  0.285  0.287  0.570
Th  0.715  0.713  0.430

Results
Formation enthalpy at 0 K ... 0.0250 eV/atom

# 6
Compound: TaP2NO
Source: Alexandria
Functional: GGA-PBE
Structure: relaxed

Lattice parameters (Å, degrees): 3.747 3.747 4.113 90.00 90.00 90.00
Element x y z (fractional)
P  0.000  0.500  0.000
P  0.500  0.000  0.000
N  0.000  0.000  0.000
O  0.000  0.000  0.500
Ta  0.500  0.500  0.500

Results
Formation energy from raw total energies ... 12.486 kcal/mol of atoms

# 7
Compound: Pm2Th2Sn3
Source: Alexandria
Functional: GGA-PBE
Structure: relaxed

Lattice parameters (Å, degrees): 4.424 6.303 8.617 107.05 90.00 110.54
Element x y z (fractional)
Pm  0.621  0.242  0.804
Pm  0.379  0.758  0.196
Th  0.875  0.750  0.562
Th  0.125  0.250  0.438
Sn  0.000  0.000  0.000
Sn  0.679  0.359  0.197
Sn  0.321  0.641  0.803

Results
Formation enthalpy at 0 K ... -0.4477 eV/atom

# 8
Compound: ScTlMo2
Source: Alexandria
Functional: GGA-PBE
Structure: relaxed

Lattice parameters (Å, degrees): 4.698 4.698 4.698 120.04 120.04 89.92
Element x y z (fractional)
Mo  0.000  0.000  0.000
Mo  0.250  0.750  0.500
Sc  0.500  0.500  0.000
Tl  0.750  0.250  0.500

Results
Formation enthalpy at 0 K ... 0.2261 eV/atom

Calculated size of the total moment in order - 0.00; 0.00; 7.38; 1.50; 0.00; 0.00; 0.00; 0.00 μB per formula unit
Calculated mass density in order - 6.16; 8.35; 8.22; 7.15; 9.85; 7.85; 8.63; 10.00 Mg/m³